Entry 1:
14
Lattice="-3.388 -1.360 -1.556 3.626 -2.036 -6.118 1.298 -6.645 2.980" Properties=species:S:1:pos:R:3 comment="YCu4Ge2, optimized geometry, DFT PBE" total_energy_ev_per_cell=-68.81 relative_energy_mev_per_atom=0 crystal_system=tetragonal sg="P4_2/mnm, No. 136" ef_ev_per_atom=-0.331 n_ef_per_ev_fu=3.451 pbc="T T T"
Ge 3.121 -3.035 -4.145
Ge 1.802 -5.645 1.008
Ge 1.835 -6.902 -3.027
Ge -0.300 -3.138 -1.666
Cu 3.548 -7.374 -1.284
Cu 0.890 -7.142 -0.760
Cu 0.778 -2.490 0.481
Cu 4.145 -6.191 -3.619
Cu -0.373 -4.914 0.046
Cu 0.645 -2.898 -3.934
Cu 1.375 -1.307 -1.854
Cu 1.908 -5.126 -4.739
Y -1.694 -0.680 -0.778
Y 2.462 -4.340 -1.569


Entry 2:
4
Lattice="-3.126 0.857 0.729 0.532 -0.774 3.188 3.143 7.423 4.745" Properties=species:S:1:pos:R:3 comment="KSb2Ru, optimized geometry, DFT PBE" total_energy_ev_per_cell=-19.23 relative_energy_mev_per_atom=0 e_form_raw_ev_per_atom=-0.15 crystal_system=tetragonal sg="P4/mmm, No. 123" n_ef_per_ev_fu=1.422 pbc="T T T"
Sb 2.012 3.872 4.071
Sb 2.969 6.876 4.641
Ru 1.193 5.416 6.314
K -0.644 2.091 2.348


Entry 3:
6
Lattice="3.912 0.000 0.000 -1.956 3.388 0.000 0.000 0.000 6.777" Properties=species:S:1:pos:R:3 comment="ThBe2Si2Ru, optimized geometry, DFT PBE" total_energy_ev_per_cell=-38.09 e_form_raw_ev_per_atom=-0.52 crystal_system=trigonal sg="P-3m1, No. 164" n_ef_per_ev_fu=2.653 pbc="T T T"
Be 0.000 2.259 2.258
Be 1.956 1.129 4.519
Th 0.000 0.000 0.000
Si 0.000 2.259 4.726
Si 1.956 1.129 2.051
Ru 0.000 0.000 3.388